[1]
Entry from OQMD: a relaxed TbMgCuSe3 crystal (GGA-PBE).

```
TbMgCuSe3
1.0
11.320 0.000 0.000
0.000 3.957 0.000
0.000 0.000 11.556
Tb Mg Cu Se
4 4 4 12
direct
0.026 0.250 0.189 Tb
0.474 0.750 0.689 Tb
0.526 0.250 0.311 Tb
0.974 0.750 0.811 Tb
0.181 0.250 0.495 Mg
0.319 0.750 0.995 Mg
0.681 0.250 0.005 Mg
0.819 0.750 0.505 Mg
0.246 0.750 0.286 Cu
0.254 0.250 0.786 Cu
0.746 0.750 0.214 Cu
0.754 0.250 0.714 Cu
0.054 0.750 0.375 Se
0.104 0.250 0.934 Se
0.211 0.750 0.665 Se
0.289 0.250 0.165 Se
0.396 0.750 0.434 Se
0.446 0.250 0.875 Se
0.554 0.750 0.125 Se
0.604 0.250 0.566 Se
0.711 0.750 0.835 Se
0.789 0.250 0.335 Se
0.896 0.750 0.066 Se
0.946 0.250 0.625 Se
```

Results
Excess energy over the best structure of this formula in the dataset   0.048 eV per atom

=====

[2]
Entry from OQMD: a relaxed PrTaAsO crystal (GGA-PBE).

```
PrTaAsO
1.0
4.164 0.000 0.000
0.000 4.899 0.000
0.000 0.000 7.178
Pr Ta As O
2 2 2 2
direct
0.000 0.171 0.000 Pr
0.000 0.829 0.500 Pr
0.500 0.343 0.349 Ta
0.500 0.657 0.849 Ta
0.500 0.165 0.697 As
0.500 0.835 0.197 As
0.000 0.344 0.347 O
0.000 0.656 0.847 O
```

Results
Excess energy over the best structure of this formula in the dataset   0.206 eV per atom